[1]
An optimized crystal structure of CrNiRh, computed with PBE.

Computed properties:
- Formation energy: -0.011 eV per atom
- Energy above the lowest structure with this stoichiometry: 3.86 kJ/mol of atoms

Unit cell a=2.6052 b=2.6052 c=10.8804 alpha=90.00 beta=90.00 gamma=90.00
Space group I4mm (No. 107)
One atom of each set of equivalent atoms:
1 Cr 0.0000 0.0000 0.0000 x2
2 Ni 0.0000 0.0000 0.6555 x2
3 Rh 0.0000 0.0000 0.3338 x2


[2]
An optimized crystal structure of Zr6PdRh3, computed with PBE.

Computed properties:
- Formation energy: -0.548 eV per atom

Unit cell a=7.0804 b=4.5530 c=12.5960 alpha=90.00 beta=105.45 gamma=90.00
Space group P2_1/m (No. 11)
One atom of each set of equivalent atoms:
1 Zr 0.0253 0.2500 0.2859 x2
2 Zr 0.0335 0.7500 0.1054 x2
3 Zr 0.1870 0.7500 0.5128 x2
4 Zr 0.3043 0.2500 0.1254 x2
5 Zr 0.4029 0.2500 0.8896 x2
6 Zr 0.4229 0.7500 0.3193 x2
7 Pd 0.3880 0.2500 0.4495 x2
8 Rh 0.1464 0.2500 0.6432 x2
9 Rh 0.2033 0.7500 0.9313 x2
10 Rh 0.3700 0.7500 0.7337 x2


[3]
An optimized crystal structure of YTlZn, computed with PBE.

Computed properties:
- Formation energy: -0.277 eV per atom

Unit cell a=4.3275 b=10.5968 c=6.2066 alpha=90.00 beta=90.00 gamma=90.00
Space group Cmcm (No. 63)
One atom of each set of equivalent atoms:
1 Y 0.0000 0.1926 0.2500 x4
2 Tl 0.0000 0.5000 0.0000 x4
3 Zn 0.0000 0.1180 0.7500 x4


[4]
An optimized crystal structure of Ba3Nb4O12, computed with PBE.

Computed properties:
- Final energy: -8.32 eV/atom

Unit cell a=8.2134 b=8.2134 c=8.2134 alpha=90.00 beta=90.00 gamma=90.00
Space group Im-3m (No. 229)
One atom of each set of equivalent atoms:
1 Ba 0.0000 0.0000 0.5000 x6
2 Nb 0.2500 0.2500 0.2500 x8
3 O 0.0000 0.2542 0.2542 x24


[5]
An optimized crystal structure of CrHg2Cl, computed with PBE.

Computed properties:
- Energy above the lowest structure with this stoichiometry: 0.00 kJ/mol of atoms

Unit cell a=3.4744 b=6.0906 c=9.3182 alpha=99.53 beta=90.10 gamma=90.00
Space group P1 (No. 1)
One atom of each set of equivalent atoms:
1 Cr 0.0000 0.0000 0.0000 x1
2 Cr 0.5002 0.4464 0.0037 x1
3 Hg 0.0009 0.4908 0.4973 x1
4 Hg 0.4945 0.9578 0.5065 x1
5 Hg 0.5009 0.1970 0.2407 x1
6 Hg 0.9980 0.2493 0.7630 x1
7 Cl 0.0007 0.6807 0.1514 x1
8 Cl 0.4993 0.7656 0.8523 x1


[6]
An optimized crystal structure of Al2ZnOs, computed with PBE.

Computed properties:
- Formation energy: -0.242 eV per atom

Unit cell a=3.8860 b=3.8860 c=7.5652 alpha=90.00 beta=90.00 gamma=90.00
Space group I4/mmm (No. 139)
One atom of each set of equivalent atoms:
1 Al 0.0000 0.5000 0.2500 x4
2 Zn 0.0000 0.0000 0.0000 x2
3 Os 0.0000 0.0000 0.5000 x2


[7]
An optimized crystal structure of HoMg, computed with PBE.

Computed properties:
- Formation energy: -0.075 eV per atom

Unit cell a=3.7758 b=3.7758 c=3.7758 alpha=90.00 beta=90.00 gamma=90.00
Space group Pm-3m (No. 221)
One atom of each set of equivalent atoms:
1 Ho 0.0000 0.0000 0.0000 x1
2 Mg 0.5000 0.5000 0.5000 x1


[8]
An optimized crystal structure of NdDy2YEr2, computed with PBE.

Computed properties:
- Formation energy: 0.168 eV per atom

Unit cell a=6.9356 b=16.1212 c=3.5153 alpha=90.00 beta=90.00 gamma=90.00
Space group Pnnm (No. 58)
One atom of each set of equivalent atoms:
1 Nd 0.0000 0.0000 0.0000 x2
2 Dy 0.2494 0.3415 0.0000 x4
3 Y 0.0000 0.5000 0.5000 x2
4 Er 0.2493 0.1562 0.5000 x4


[9]
An optimized crystal structure of Sc6As2N, computed with PBE.

Computed properties:
- Final energy: -7.06 eV/atom

Unit cell a=5.8560 b=5.8560 c=11.2910 alpha=90.00 beta=90.00 gamma=90.00
Space group P4_2/mnm (No. 136)
One atom of each set of equivalent atoms:
1 Sc 0.1893 0.1893 0.1404 x8
2 Sc 0.2216 0.2216 0.5000 x4
3 As 0.0000 0.0000 0.3278 x4
4 N 0.0000 0.0000 0.0000 x2


[10]
An optimized crystal structure of CeHoTl4, computed with PBE.

Computed properties:
- Formation energy: 0.043 eV per atom

Unit cell a=7.3140 b=7.3145 c=7.3964 alpha=90.00 beta=90.09 gamma=90.00
Space group C2/m (No. 12)
One atom of each set of equivalent atoms:
1 Ce 0.0000 0.0000 0.0000 x2
2 Ho 0.0000 0.5000 0.5000 x2
3 Tl 0.2501 0.2503 0.2634 x8


[11]
An optimized crystal structure of BeNiHg3, computed with PBE.

Computed properties:
- Formation energy: 0.670 eV per atom
- Energy above the lowest structure with this stoichiometry: 0.00 kJ/mol of atoms

Unit cell a=4.6691 b=4.6691 c=4.6691 alpha=90.00 beta=90.00 gamma=90.00
Space group Pm-3m (No. 221)
One atom of each set of equivalent atoms:
1 Be 0.0000 0.0000 0.0000 x1
2 Ni 0.5000 0.5000 0.5000 x1
3 Hg 0.0000 0.0000 0.5000 x3


[12]
An optimized crystal structure of Ce2SmThSb5, computed with PBE.

Computed properties:
- Final energy: -5.14 eV/atom

Unit cell a=5.3599 b=5.3599 c=11.8195 alpha=90.00 beta=90.00 gamma=90.00
Space group P4/mmm (No. 123)
One atom of each set of equivalent atoms:
1 Ce 0.0000 0.0000 0.1952 x2
2 Sm 0.5000 0.5000 0.0000 x1
3 Th 0.5000 0.5000 0.5000 x1
4 Sb 0.0000 0.0000 0.5000 x1
5 Sb 0.0000 0.5000 0.0000 x2
6 Sb 0.5000 0.5000 0.2509 x2


[13]
An optimized crystal structure of Tl4Sn5Pb, computed with PBE.

Computed properties:
- Formation energy: 0.033 eV per atom

Unit cell a=3.4531 b=3.4531 c=24.6598 alpha=90.00 beta=90.00 gamma=90.00
Space group P4/mmm (No. 123)
One atom of each set of equivalent atoms:
1 Tl 0.0000 0.0000 0.0989 x2
2 Tl 0.0000 0.0000 0.2984 x2
3 Sn 0.5000 0.5000 0.0000 x1
4 Sn 0.5000 0.5000 0.1988 x2
5 Sn 0.5000 0.5000 0.4000 x2
6 Pb 0.0000 0.0000 0.5000 x1


[14]
An optimized crystal structure of MnAlSb3, computed with PBE.

Computed properties:
- Energy above the lowest structure with this stoichiometry: 75.51 kJ/mol of atoms

Unit cell a=5.1943 b=5.1943 c=5.1943 alpha=90.00 beta=90.00 gamma=90.00
Space group Pm-3m (No. 221)
One atom of each set of equivalent atoms:
1 Mn 0.0000 0.0000 0.0000 x1
2 Al 0.5000 0.5000 0.5000 x1
3 Sb 0.0000 0.5000 0.5000 x3


[15]
An optimized crystal structure of LiPmMg2Pd4, computed with PBE.

Computed properties:
- Formation energy: -0.661 eV per atom

Unit cell a=4.5145 b=4.5145 c=24.2648 alpha=90.00 beta=90.00 gamma=120.00
Space group R-3m (No. 166, hexagonal axes)
One atom of each set of equivalent atoms:
1 Li 0.0000 0.0000 0.0000 x3
2 Pm 0.0000 0.0000 0.5000 x3
3 Mg 0.0000 0.0000 0.2626 x6
4 Pd 0.0000 0.0000 0.1049 x6
5 Pd 0.0000 0.0000 0.3739 x6


[16]
An optimized crystal structure of NdEuDy4, computed with PBE.

Computed properties:
- Formation energy: 0.248 eV per atom

Unit cell a=9.4965 b=9.4965 c=9.4965 alpha=90.00 beta=90.00 gamma=90.00
Space group F-43m (No. 216)
One atom of each set of equivalent atoms:
1 Nd 0.0000 0.0000 0.0000 x4
2 Eu 0.2500 0.2500 0.2500 x4
3 Dy 0.1265 0.1265 0.6265 x16


[17]
An optimized crystal structure of CdB3Sb, computed with PBE.

Computed properties:
- Energy above the lowest structure with this stoichiometry: 12.45 kJ/mol of atoms

Unit cell a=4.4405 b=4.4405 c=4.4405 alpha=90.00 beta=90.00 gamma=90.00
Space group Pm-3m (No. 221)
One atom of each set of equivalent atoms:
1 Cd 0.0000 0.0000 0.0000 x1
2 B 0.0000 0.0000 0.5000 x3
3 Sb 0.5000 0.5000 0.5000 x1


[18]
An optimized crystal structure of PmZn6Cu4, computed with PBE.

Computed properties:
- Formation energy: -0.164 eV per atom

Unit cell a=7.0170 b=7.0170 c=4.0561 alpha=90.00 beta=90.00 gamma=120.00
Space group P-6m2 (No. 187)
One atom of each set of equivalent atoms:
1 Pm 0.0000 0.0000 0.0000 x1
2 Zn 0.2044 0.4089 0.5000 x3
3 Zn 0.5362 0.0724 0.0000 x3
4 Cu 0.3333 0.6667 0.0000 x1
5 Cu 0.4140 0.2070 0.5000 x3


[19]
An optimized crystal structure of Zn2TcSe, computed with PBE.

Computed properties:
- Energy above the lowest structure with this stoichiometry: 0.00 kJ/mol of atoms

Unit cell a=2.9922 b=2.9922 c=7.8776 alpha=90.00 beta=90.00 gamma=90.00
Space group P4mm (No. 99)
One atom of each set of equivalent atoms:
1 Zn 0.0000 0.0000 0.0000 x1
2 Zn 0.5000 0.5000 0.2233 x1
3 Tc 0.5000 0.5000 0.7733 x1
4 Se 0.0000 0.0000 0.5985 x1


[20]
An optimized crystal structure of La2Cd2S, computed with PBE.

Computed properties:
- Final energy: -3.90 eV/atom

Unit cell a=7.6580 b=7.6580 c=5.3182 alpha=90.00 beta=90.00 gamma=90.00
Space group P4/mbm (No. 127)
One atom of each set of equivalent atoms:
1 La 0.1688 0.3312 0.0000 x4
2 Cd 0.1362 0.6362 0.5000 x4
3 S 0.0000 0.0000 0.0000 x2


Number 1: V 73.85 Å³/cell. Number 2: V 391.39 Å³/cell. Number 3: V 284.62 Å³/cell. Number 4: V 554.07 Å³/cell. Number 5: V 194.46 Å³/cell. Number 6: V 114.24 Å³/cell. Number 7: V 53.83 Å³/cell. Number 8: V 393.05 Å³/cell. Number 9: V 387.20 Å³/cell. Number 10: V 395.69 Å³/cell. Number 11: V 101.79 Å³/cell. Number 12: V 339.56 Å³/cell. Number 13: V 294.04 Å³/cell. Number 14: V 140.15 Å³/cell. Number 15: V 428.28 Å³/cell. Number 16: V 856.44 Å³/cell. Number 17: V 87.56 Å³/cell. Number 18: V 172.96 Å³/cell. Number 19: V 70.53 Å³/cell. Number 20: V 311.88 Å³/cell.